# 1
A geometry-optimized BiH2Br6 structure, computed with GGA-PBE.

```
BiH2Br6
1.0
7.349 -0.355 0.165
-0.160 9.853 3.354
-0.694 1.987 10.194
Br H Bi
12 4 2
direct
0.062 0.814 0.010
0.764 0.229 0.364
0.264 0.364 0.229
0.236 0.771 0.636
0.562 0.010 0.814
0.913 0.820 0.377
0.438 0.990 0.186
0.587 0.623 0.180
0.413 0.377 0.820
0.087 0.180 0.623
0.938 0.186 0.990
0.736 0.636 0.771
0.777 0.697 0.615
0.723 0.385 0.303
0.223 0.303 0.385
0.277 0.615 0.697
0.750 0.890 0.110
0.250 0.110 0.890
```

***

# 2
A geometry-optimized CeSm2Tl3 structure, computed with GGA-PBE.

```
CeSm2Tl3
1.0
-1.406 0.021 3.314
-2.318 -2.579 -0.967
8.747 -9.273 3.769
Ce Tl Sm
1 3 2
direct
0.500 0.500 0.500
0.000 0.000 0.000
0.000 0.000 0.669
0.000 0.000 0.331
0.500 0.500 0.836
0.500 0.500 0.164
```

Output
**ΔE_f**: -328 meV per atom

***

# 3
A geometry-optimized CrCd2Cl structure, computed with GGA-PBE.

```
CrCd2Cl
1.0
6.344 0.019 0.000
3.811 5.072 0.000
-5.077 -2.546 2.826
Cl Cd Cr
1 2 1
direct
0.250 0.750 0.500
0.000 0.000 0.000
0.500 0.500 0.000
0.750 0.250 0.500
```

Output
**Offset from the most stable computed form**: 189.9 meV/atom

***

# 4
A geometry-optimized Cs2ZrBCl6 structure, computed with GGA-PBE.

```
Cs2ZrBCl6
1.0
-7.280 -0.328 0.861
0.859 -4.893 5.400
-2.939 1.836 7.117
Cl B Cs Zr
6 1 2 1
direct
0.212 0.212 0.577
0.758 0.758 0.000
0.242 0.758 0.000
0.758 0.242 0.000
0.788 0.788 0.423
0.242 0.242 0.000
0.500 0.500 0.000
0.250 0.750 0.500
0.750 0.250 0.500
0.000 0.000 0.000
```

***

Number 1: final energy -47.23 eV per cell, total magnetization 0.00 μB/cell. Number 2: final energy -24.44 eV per cell, total magnetization 1.23 μB/cell. Number 3: final energy -12.65 eV per cell, total magnetization 4.73 μB/cell. Number 4: final energy -40.05 eV per cell, total magnetization 1.00 μB/cell.